GGA-PBEsol LaWCl2, relaxed; N(E_F) = 2.498 states/eV per cell; formation energy without anion corrections = -0.317 eV/atom; total magnetization = 0.00 μB per formula unit
1.0
1.583 0.914 9.165
-1.583 0.914 9.165
0.000 -1.828 9.165
La W Cl
1 1 2
Cartesian
0.000 0.000 0.000 La
0.000 0.000 13.747 W
0.000 0.000 11.381 Cl
0.000 0.000 16.113 Cl



GGA-PBEsol La3YCl, relaxed; N(E_F) = 5.648 states/eV per cell; formation energy without anion corrections = -0.574 eV/atom; total magnetization = 0.00 μB per formula unit
1.0
5.473 0.000 0.000
0.000 5.473 0.000
0.000 0.000 5.473
La Y Cl
3 1 1
Cartesian
0.000 0.000 2.737 La
0.000 2.737 0.000 La
2.737 0.000 0.000 La
2.737 2.737 2.737 Y
0.000 0.000 0.000 Cl



GGA-PBEsol LaZnCl2, relaxed; N(E_F) = 2.376 states/eV per cell; energy above the lowest structure with this stoichiometry = 2.24 eV per formula unit; formation energy without anion corrections = -0.686 eV/atom; total magnetization = 0.00 μB per formula unit
1.0
1.780 1.028 8.670
-1.780 1.028 8.670
0.000 -2.056 8.670
La Zn Cl
1 1 2
Cartesian
0.000 0.000 0.000 La
0.000 0.000 13.004 Zn
0.000 0.000 2.864 Cl
0.000 0.000 23.145 Cl



GGA-PBEsol LaZn2Cl, relaxed; N(E_F) = 2.191 states/eV per cell; energy above the lowest structure with this stoichiometry = 0.65 eV per formula unit; formation energy without anion corrections = -0.480 eV/atom; total magnetization = 0.00 μB per formula unit
1.0
2.739 -4.877 0.000
2.739 4.877 0.000
0.000 0.000 3.470
La Zn Cl
1 2 1
Cartesian
0.000 0.000 0.000 La
1.370 2.438 1.735 Zn
1.370 -2.438 1.735 Zn
2.739 0.000 0.000 Cl



GGA-PBEsol LaZn2Cl, relaxed; N(E_F) = 2.635 states/eV per cell; energy above the lowest structure with this stoichiometry = 0.00 eV per formula unit; formation energy without anion corrections = -0.643 eV/atom; total magnetization = 0.00 μB per formula unit
1.0
3.914 0.000 0.000
0.000 3.989 0.000
-0.400 0.000 5.456
La Zn Cl
1 2 1
Cartesian
0.000 0.000 0.000 La
1.752 0.000 2.730 Zn
3.708 1.995 2.729 Zn
1.957 1.995 0.001 Cl



GGA-PBEsol LaZn2Cl, relaxed; N(E_F) = 1.953 states/eV per cell; energy above the lowest structure with this stoichiometry = 1.57 eV per formula unit; formation energy without anion corrections = -0.250 eV/atom; total magnetization = 0.00 μB per formula unit
1.0
1.838 -2.795 0.000
1.838 2.795 0.000
0.000 0.000 8.753
La Zn Cl
1 2 1
Cartesian
0.000 0.000 0.000 La
1.838 0.000 2.490 Zn
1.838 0.000 6.264 Zn
0.000 0.000 4.377 Cl



GGA-PBEsol LaZnCl2, relaxed; N(E_F) = 1.781 states/eV per cell; energy above the lowest structure with this stoichiometry = 0.17 eV per formula unit; formation energy without anion corrections = -1.204 eV/atom; total magnetization = 0.00 μB per formula unit
1.0
1.907 1.101 9.643
-1.907 1.101 9.643
0.000 -2.202 9.643
La Zn Cl
1 1 2
Cartesian
0.000 0.000 0.000 La
0.000 0.000 14.464 Zn
0.000 0.000 7.830 Cl
0.000 0.000 21.098 Cl



GGA-PBEsol LaZnCl2, relaxed; N(E_F) = 2.414 states/eV per cell; energy above the lowest structure with this stoichiometry = 0.00 eV per formula unit; formation energy without anion corrections = -1.246 eV/atom; total magnetization = 0.00 μB per formula unit
1.0
4.703 -1.907 0.000
4.703 1.907 0.000
-1.450 0.000 5.251
La Zn Cl
1 1 2
Cartesian
0.000 0.000 0.000 La
3.978 0.000 2.625 Zn
1.411 0.000 4.083 Cl
6.546 0.000 1.168 Cl



GGA-PBEsol LaZnCl2, relaxed; N(E_F) = 2.970 states/eV per cell; energy above the lowest structure with this stoichiometry = 0.28 eV per formula unit; formation energy without anion corrections = -1.177 eV/atom; total magnetization = 0.85 μB per formula unit
1.0
0.000 3.524 3.524
3.524 0.000 3.524
3.524 3.524 0.000
La Zn Cl
1 1 2
Cartesian
0.000 0.000 0.000 La
3.524 3.524 3.524 Zn
1.762 1.762 1.762 Cl
5.286 5.286 5.286 Cl



GGA-PBEsol LaZrCl2, relaxed; N(E_F) = 2.973 states/eV per cell; energy above the lowest structure with this stoichiometry = 0.18 eV per formula unit; formation energy without anion corrections = -0.984 eV/atom; total magnetization = 0.00 μB per formula unit
1.0
6.735 -1.642 0.000
6.735 1.642 0.000
-1.436 0.000 4.172
La Zr Cl
1 1 2
Cartesian
0.000 0.000 0.000 La
3.827 0.000 1.321 Zr
6.285 0.000 2.178 Cl
9.337 0.000 3.236 Cl



GGA-PBEsol La2ZrCl2, relaxed; N(E_F) = 4.768 states/eV per cell; formation energy without anion corrections = -0.773 eV/atom; total magnetization = 3.90 μB per formula unit
1.0
-2.149 2.149 7.741
2.149 -2.149 7.741
2.149 2.149 -7.741
La Zr Cl
2 1 2
Cartesian
0.000 0.000 1.895 La
0.000 0.000 13.588 La
0.000 0.000 7.741 Zr
2.149 0.000 3.871 Cl
0.000 2.149 3.871 Cl



GGA-PBEsol LaZrCl2, relaxed; N(E_F) = 2.674 states/eV per cell; energy above the lowest structure with this stoichiometry = 0.00 eV per formula unit; formation energy without anion corrections = -1.029 eV/atom; total magnetization = 0.00 μB per formula unit
1.0
-1.707 1.959 6.349
1.707 -1.959 6.349
1.707 1.959 -6.349
La Zr Cl
1 1 2
Cartesian
0.000 0.000 0.000 La
0.000 1.959 3.205 Zr
1.707 0.000 2.364 Cl
0.000 0.000 5.034 Cl



GGA-PBEsol LiCl, relaxed; N(E_F) = 0.000 states/eV per cell; formation energy without anion corrections = -1.816 eV/atom; total magnetization = 0.00 μB per formula unit
1.0
3.891 0.000 0.000
-1.946 3.370 0.000
0.000 0.000 6.129
Li Cl
2 2
Cartesian
0.000 2.247 0.000 Li
1.946 1.123 3.064 Li
0.000 2.247 3.767 Cl
1.946 1.123 0.702 Cl



GGA-PBEsol LiCl, relaxed; N(E_F) = 0.000 states/eV per cell; formation energy without anion corrections = -1.694 eV/atom; total magnetization = 0.00 μB per formula unit
1.0
1.727 -3.530 0.000
1.727 3.530 0.000
0.000 0.000 3.361
Li Cl
1 1
Cartesian
0.000 0.000 0.000 Li
1.727 0.000 1.680 Cl



GGA-PBEsol LiCl, relaxed; N(E_F) = 0.000 states/eV per cell; formation energy without anion corrections = -1.822 eV/atom; total magnetization = 0.00 μB per formula unit
1.0
3.073 -1.774 0.000
3.073 1.774 0.000
-2.044 0.000 8.904
Li Cl
3 3
Cartesian
0.000 0.000 0.000 Li
-0.003 0.000 2.995 Li
0.006 0.000 5.990 Li
2.045 0.000 1.504 Cl
2.052 0.000 7.446 Cl
4.097 0.000 4.486 Cl



GGA-PBEsol LiCl, relaxed; N(E_F) = 0.000 states/eV per cell; formation energy without anion corrections = -1.762 eV/atom; total magnetization = 0.00 μB per formula unit
1.0
4.352 0.000 0.000
0.000 4.352 0.000
0.000 0.000 3.996
Li Cl
2 2
Cartesian
1.088 3.264 0.000 Li
3.264 1.088 0.000 Li
1.088 1.088 0.969 Cl
3.264 3.264 3.027 Cl



GGA-PBEsol Li3Cl, relaxed; N(E_F) = 3.004 states/eV per cell; energy above the lowest structure with this stoichiometry = 0.65 eV per formula unit; formation energy without anion corrections = -0.636 eV/atom; total magnetization = 0.35 μB per formula unit
1.0
-1.893 1.893 10.665
1.893 -1.893 10.665
1.893 1.893 -10.665
Li Cl
6 2
Cartesian
1.893 0.000 0.000 Li
0.000 0.000 2.605 Li
1.893 0.000 5.332 Li
0.000 1.893 0.000 Li
0.000 1.893 5.332 Li
0.000 0.000 18.725 Li
0.000 0.000 8.971 Cl
0.000 0.000 12.359 Cl



GGA-PBEsol LiCl, relaxed; N(E_F) = 0.000 states/eV per cell; formation energy without anion corrections = -1.775 eV/atom; total magnetization = 0.00 μB per formula unit
1.0
3.998 0.000 0.000
-1.999 3.463 0.000
0.000 0.000 18.875
Li Cl
6 6
Cartesian
0.000 0.000 2.072 Li
0.000 0.000 16.803 Li
0.000 2.308 4.149 Li
0.000 2.308 8.399 Li
1.999 1.154 10.476 Li
1.999 1.154 14.726 Li
0.000 0.000 4.509 Cl
0.000 0.000 14.365 Cl
0.000 2.308 1.710 Cl
0.000 2.308 10.839 Cl
1.999 1.154 8.036 Cl
1.999 1.154 17.165 Cl



GGA-PBEsol LiCl, relaxed; N(E_F) = 0.000 states/eV per cell; formation energy without anion corrections = -1.812 eV/atom; total magnetization = 0.00 μB per formula unit
1.0
0.000 2.718 2.718
2.718 0.000 2.718
2.718 2.718 0.000
Li Cl
1 1
Cartesian
0.000 0.000 0.000 Li
4.077 4.077 4.077 Cl



GGA-PBEsol Li3Cl, relaxed; N(E_F) = 1.401 states/eV per cell; energy above the lowest structure with this stoichiometry = 0.00 eV per formula unit; formation energy without anion corrections = -0.798 eV/atom; total magnetization = 0.00 μB per formula unit
1.0
3.349 0.000 0.000
-1.674 2.900 0.000
0.000 0.000 8.298
Li Cl
3 1
Cartesian
0.000 0.000 0.000 Li
0.000 1.933 2.618 Li
0.000 1.933 5.680 Li
0.000 0.000 4.149 Cl



GGA-PBEsol LiCl, relaxed; N(E_F) = 0.000 states/eV per cell; formation energy without anion corrections = -1.832 eV/atom; total magnetization = 0.00 μB per formula unit
1.0
0.000 2.530 2.530
2.530 0.000 2.530
2.530 2.530 0.000
Li Cl
1 1
Cartesian
0.000 0.000 0.000 Li
2.530 2.530 2.530 Cl



GGA-PBEsol LiCl, relaxed; N(E_F) = 0.000 states/eV per cell; formation energy without anion corrections = -1.752 eV/atom; total magnetization = 0.00 μB per formula unit
1.0
9.958 0.000 0.000
0.000 6.518 0.000
0.000 0.000 6.608
Li Cl
12 12
Cartesian
0.552 0.401 1.652 Li
0.552 2.858 4.956 Li
2.564 4.337 1.652 Li
2.564 5.440 4.956 Li
4.067 1.629 0.000 Li
4.067 1.629 3.304 Li
5.891 4.888 0.000 Li
5.891 4.888 3.304 Li
7.395 1.078 1.652 Li
7.395 2.181 4.956 Li
9.406 3.660 1.652 Li
9.406 6.117 4.956 Li
0.892 4.888 0.000 Cl
0.892 4.888 3.304 Cl
2.271 1.187 4.956 Cl
2.271 2.072 1.652 Cl
4.281 3.921 4.956 Cl
4.281 5.856 1.652 Cl
5.678 0.662 4.956 Cl
5.678 2.597 1.652 Cl
7.687 4.446 4.956 Cl
7.687 5.331 1.652 Cl
9.067 1.629 0.000 Cl
9.067 1.629 3.304 Cl



GGA-PBEsol LiCl, relaxed; N(E_F) = 0.000 states/eV per cell; formation energy without anion corrections = -1.753 eV/atom; total magnetization = 0.00 μB per formula unit
1.0
-1.671 5.245 3.019
1.671 -5.245 3.019
1.671 5.245 -3.019
Li Cl
3 3
Cartesian
0.000 0.000 0.000 Li
1.671 3.666 -0.119 Li
0.000 1.579 2.900 Li
1.671 -1.696 1.120 Cl
1.671 1.696 1.120 Cl
0.000 5.245 1.063 Cl



GGA-PBEsol Na2LiLuCl6, relaxed; N(E_F) = 0.000 states/eV per cell; formation energy without anion corrections = -1.893 eV/atom; total magnetization = 0.00 μB per formula unit
1.0
0.000 4.982 4.982
4.982 0.000 4.982
4.982 4.982 0.000
Na Li Lu Cl
2 1 1 6
Cartesian
2.491 2.491 2.491 Na
7.473 7.473 7.473 Na
0.000 0.000 0.000 Li
4.982 4.982 4.982 Lu
4.982 4.982 2.459 Cl
4.982 2.459 4.982 Cl
7.505 4.982 4.982 Cl
2.459 4.982 4.982 Cl
4.982 7.505 4.982 Cl
4.982 4.982 7.505 Cl



GGA-PBEsol Li2MgCl4, relaxed; N(E_F) = 0.000 states/eV per cell; formation energy without anion corrections = -1.843 eV/atom; total magnetization = 0.00 μB per formula unit
1.0
-3.610 3.688 5.187
3.610 -3.688 5.187
3.610 3.688 -5.187
Li Mg Cl
4 2 8
Cartesian
1.805 1.844 -2.594 Li
1.805 -1.844 2.594 Li
0.000 1.844 1.457 Li
3.610 1.844 3.731 Li
3.610 0.000 0.000 Mg
0.000 0.000 5.187 Mg
3.610 -0.109 2.461 Cl
1.893 1.844 -0.023 Cl
3.610 3.579 -2.461 Cl
5.327 1.844 -0.023 Cl
-1.717 1.844 5.211 Cl
0.000 0.109 7.649 Cl
1.717 1.844 5.211 Cl
0.000 3.798 2.726 Cl



GGA-PBEsol Li2MgCl, relaxed; N(E_F) = 1.158 states/eV per cell; energy above the lowest structure with this stoichiometry = 0.00 eV per formula unit; formation energy without anion corrections = -0.815 eV/atom; total magnetization = 0.00 μB per formula unit
1.0
1.656 0.956 8.294
-1.656 0.956 8.294
0.000 -1.912 8.294
Li Mg Cl
2 1 1
Cartesian
0.000 0.000 5.666 Li
0.000 0.000 19.217 Li
0.000 0.000 0.000 Mg
0.000 0.000 12.441 Cl



GGA-PBEsol Li3MgCl, relaxed; N(E_F) = 2.682 states/eV per cell; formation energy without anion corrections = -0.529 eV/atom; total magnetization = 0.00 μB per formula unit
1.0
4.714 0.000 0.000
0.000 4.714 0.000
0.000 0.000 4.714
Li Mg Cl
3 1 1
Cartesian
0.000 0.000 2.357 Li
0.000 2.357 0.000 Li
2.357 0.000 0.000 Li
2.357 2.357 2.357 Mg
0.000 0.000 0.000 Cl



GGA-PBEsol LiMg2Cl, relaxed; N(E_F) = 0.991 states/eV per cell; energy above the lowest structure with this stoichiometry = 0.52 eV per formula unit; formation energy without anion corrections = -0.408 eV/atom; total magnetization = 0.00 μB per formula unit
1.0
-1.984 1.984 5.605
1.984 -1.984 5.605
1.984 1.984 -5.605
Li Mg Cl
1 2 1
Cartesian
0.000 0.000 0.000 Li
1.984 0.000 2.803 Mg
0.000 1.984 2.803 Mg
0.000 0.000 5.605 Cl